## Mn2ReH2 (PBE-GGA)

Data for a relaxed structure of Mn2ReH2.

a b c (Å): 2.723 2.723 11.628
angles (deg): 90.00 90.00 90.00
Space group I4/mmm (No. 139)
Asymmetric unit:
Mn (0.000, 0.000, 0.154) x4
Re (0.000, 0.000, 0.500) x2
H (0.000, 0.500, 0.250) x4

Values from the calculation:
Crystal system: tetragonal
Electronic total energy (eV per atom): -7.4720

## Ta3BeCo (PBE-GGA)

Data for a relaxed structure of Ta3BeCo.

a b c (Å): 4.334 4.334 4.334
angles (deg): 90.00 90.00 90.00
Space group Pm-3m (No. 221)
Asymmetric unit:
Ta (0.000, 0.000, 0.500) x3
Be (0.000, 0.000, 0.000) x1
Co (0.500, 0.500, 0.500) x1

Values from the calculation:
DFT formation energy (eV per formula unit): 3.81
Crystal system: cubic
Electronic total energy (eV per atom): -8.5160

## Ce12Ga6Co (PBE-GGA)

Data for a relaxed structure of Ce12Ga6Co.

a b c (Å): 10.5845 10.5845 13.3863
angles (deg): 90.00 90.00 120.00
Space group R-3 (No. 148, hexagonal axes)
Asymmetric unit:
Ce (0.0473, 0.1726, 0.3035) x18
Ce (0.0683, 0.8451, 0.9321) x18
Ga (0.0571, 0.4551, 0.1961) x18
Co (0.0000, 0.0000, 0.5000) x3

Values from the calculation:
DFT formation energy (eV per formula unit): -4.66
Crystal system: trigonal
Electronic total energy (eV per atom): -5.3231

Number 1: V 86 Å³/cell. Number 2: V 81 Å³/cell. Number 3: V 1299 Å³/cell.